Record 1
VASP calculation (PBE+U) on a geometry-optimized NpCdNi2O6 structure.

total energy	-6.06	eV/atom
symmetry	P4mm
spin magnetization	3.00	Bohr magnetons per cell

abc: 6.1088 6.1088 4.2023
angles: 90.00 90.00 90.00
Closest atoms and distances in Å follow each position.
Fractional coordinates of all 10 atoms:
1 Np 0.0000 0.0000 0.0000  6 O 2.02-2.11
2 Cd 0.5000 0.5000 0.8972  2 O 2.06-2.14
3 Ni 0.0000 0.5000 0.0306  4 O 2.17
4 Ni 0.5000 0.0000 0.0306  4 O 2.17
5 O 0.0000 0.0000 0.5018  2 Np 2.09-2.11
6 O 0.2342 0.2342 0.0055  1 Np 2.02, 2 Ni 2.17
7 O 0.2342 0.7658 0.0055  1 Np 2.02, 2 Ni 2.17
8 O 0.5000 0.5000 0.4075  2 Cd 2.06-2.14
9 O 0.7658 0.2342 0.0055  1 Np 2.02, 2 Ni 2.17
10 O 0.7658 0.7658 0.0055  1 Np 2.02, 2 Ni 2.17

***

Record 2
VASP calculation (PBE+U) on a geometry-optimized Np2CdNiO8 structure.

total energy	-7.35	eV/atom
symmetry	I-4m2
spin magnetization	3.61	Bohr magnetons per cell

abc: 6.7444 6.7444 6.7444
angles: 126.08 126.08 79.76
Closest atoms and distances in Å follow each position.
Fractional coordinates of all 12 atoms:
1 Np 0.0000 0.0000 0.0000  4 O 1.93
2 Np 0.7500 0.2500 0.5000  4 O 2.00
3 Cd 0.2500 0.7500 0.5000  4 O 2.10
4 Ni 0.5000 0.5000 0.0000  4 O 2.02
5 O 0.0757 0.8623 0.2134  1 Np 1.93, 1 Cd 2.10
6 O 0.1176 0.3870 0.7306  1 Np 2.00, 1 Ni 2.02
7 O 0.1377 0.3511 0.2134  1 Np 1.93, 1 Cd 2.10
8 O 0.1377 0.9243 0.7866  1 Np 1.93, 1 Cd 2.10
9 O 0.6130 0.3436 0.7306  1 Np 2.00, 1 Ni 2.02
10 O 0.6130 0.8824 0.2694  1 Np 2.00, 1 Ni 2.02
11 O 0.6489 0.8623 0.7866  1 Np 1.93, 1 Cd 2.10
12 O 0.6564 0.3870 0.2694  1 Np 2.00, 1 Ni 2.02

***

Record 3
VASP calculation (PBE+U) on a geometry-optimized NpCd2NiO8 structure.

total energy	-6.08	eV/atom
symmetry	P2/m
spin magnetization	2.98	Bohr magnetons per cell

abc: 4.9405 6.4121 5.0577
angles: 90.00 94.61 90.00
Closest atoms and distances in Å follow each position.
Fractional coordinates of all 12 atoms:
1 Np 0.0000 0.0000 0.0000  6 O 1.98-2.07
2 Cd 0.5000 0.2457 0.5000  4 O 2.16-2.35
3 Cd 0.5000 0.7543 0.5000  4 O 2.16-2.35
4 Ni 0.0000 0.5000 0.0000  6 O 2.07-2.17
5 O 0.1063 0.5000 0.5916  1 O 1.34
6 O 0.2224 0.0000 0.6921  1 Np 1.98
7 O 0.2363 0.2500 0.1387  1 Np 2.07, 1 Ni 2.07, 1 Cd 2.16
8 O 0.2363 0.7500 0.1387  1 Np 2.07, 1 Ni 2.07, 1 Cd 2.16
9 O 0.7637 0.2500 0.8613  1 Np 2.07, 1 Ni 2.07, 1 Cd 2.16
10 O 0.7637 0.7500 0.8613  1 Np 2.07, 1 Ni 2.07, 1 Cd 2.16
11 O 0.7776 0.0000 0.3079  1 Np 1.98
12 O 0.8937 0.5000 0.4084  1 O 1.34

***

- The highest total energy belongs to which entry?
  NpCdNi2O6